# 1
Entry from the Alexandria database: a geometry-optimized Co3BrO structure (PBE with a Hubbard U).

Calculated values
Excess energy over the best structure of this formula in the dataset (meV per atom): 1243
N(E_F) (states/eV per cell): 0.96
Calculated volume (Å³/atom): 19.214
DFT total energy (eV/atom): -2.70

a b c (Å): 4.5800 4.5800 4.5800
angles (deg): 90.00 90.00 90.00
Sites, in units of the cell vectors:
Co 0.0000 0.0000 0.5000
Co 0.0000 0.5000 0.0000
Co 0.5000 0.0000 0.0000
Br 0.0000 0.0000 0.0000
O 0.5000 0.5000 0.5000



# 2
Entry from the Alexandria database: a geometry-optimized CoPBrO2 structure (PBE with a Hubbard U).

Calculated values
Excess energy over the best structure of this formula in the dataset (meV per atom): 741
N(E_F) (states/eV per cell): 1.61
Calculated volume (Å³/atom): 15.112
DFT total energy (eV/atom): -3.58

a b c (Å): 3.7590 3.7590 5.3474
angles (deg): 90.00 90.00 90.00
Sites, in units of the cell vectors:
Co 0.0000 0.0000 0.0000
P 0.5000 0.5000 0.0000
Br 0.5000 0.5000 0.5000
O 0.0000 0.5000 0.5000
O 0.5000 0.0000 0.5000